This record from Alexandria via LeMat-Bulk describes a geometry-optimized KBa2CrO4 structure. The functional is PBE with a Hubbard U.

Cell lengths 6.331, 5.592, 6.371 Å; angles 63.51, 52.24, 64.25 degrees
Atoms (fractional coordinates):
K 0.000 0.000 0.000
Ba 0.236 0.236 0.264
Ba 0.736 0.736 0.764
Cr 0.449 0.449 0.551
O 0.124 0.531 0.876
O 0.312 0.709 0.291
O 0.531 0.124 0.469
O 0.709 0.312 0.688

Output
DFT total energy: -48.687 eV/f.u.
Symmetry: Fmm2 (42)
Spin magnetization: 3.00 Bohr magnetons per cell